[1]
The following is a DFT calculation (PBE) of crystalline Nd3Y4S8 at its relaxed geometry.

The volume comes out at 23.862 Å³/atom. The calculation puts the formation energy without anion corrections at -197.2 kJ/mol of atoms. The density of states at the Fermi level comes out at 0.463 states/eV/atom.

The structure belongs to space group C2/m (No. 12); the cell edges are 11.265, 11.271 and 7.945 Å and the angles 90.00°, 134.79° and 90.00°. The distinct sites, in fractional coordinates, are Nd at (0.000, 0.000, 0.000), Nd at (0.250, 0.250, 0.000), Y at (0.000, 0.500, 0.000), Y at (0.000, 0.500, 0.500), Y at (0.250, 0.250, 0.500), S at (0.000, 0.253, 0.500), S at (0.000, 0.255, 0.000), S at (0.242, 0.500, 0.992) and S at (0.243, 0.500, 0.491).



[2]
The following is a DFT calculation (PBE) of crystalline Nd6YS8 at its relaxed geometry.

The volume comes out at 34.414 Å³/atom. The calculation puts the formation energy without anion corrections at -158.5 kJ/mol of atoms. The density of states at the Fermi level comes out at 0.539 states/eV/atom.

The structure belongs to space group R-3 (No. 148, hexagonal axes); the cell edges are 12.2986, 12.2986 and 11.8224 Å and the angles 90.00°, 90.00° and 120.00°. The distinct sites, in fractional coordinates, are Nd at (0.0087, 0.1913, 0.1373), Y at (0.0000, 0.0000, 0.5000), S at (0.0000, 0.0000, 0.2799) and S at (0.0086, 0.2535, 0.9097).



[3]
The following is a DFT calculation (PBE) of crystalline NdY6S8 at its relaxed geometry.

The volume comes out at 31.033 Å³/atom. The calculation puts the formation energy without anion corrections at -162.1 kJ/mol of atoms. The density of states at the Fermi level comes out at 0.552 states/eV/atom.

The structure belongs to space group R-3 (No. 148, hexagonal axes); the cell edges are 11.6240, 11.6240 and 11.9342 Å and the angles 90.00°, 90.00° and 120.00°. The distinct sites, in fractional coordinates, are Nd at (0.0000, 0.0000, 0.0000), Y at (0.0073, 0.8173, 0.6291), S at (0.0000, 0.0000, 0.2296) and S at (0.0052, 0.7439, 0.4131).



[4]
The following is a DFT calculation (PBE) of crystalline Nd3YS4 at its relaxed geometry.

The volume comes out at 23.190 Å³/atom. The calculation puts the formation energy without anion corrections at -194.8 kJ/mol of atoms. The density of states at the Fermi level comes out at 0.457 states/eV/atom.

The structure belongs to space group P2/c (No. 13); the cell edges are 7.024, 8.010 and 6.991 Å and the angles 90.00°, 109.38° and 90.00°. The distinct sites, in fractional coordinates, are Nd at (0.000, 0.123, 0.250), Nd at (0.000, 0.374, 0.750), Nd at (0.500, 0.124, 0.750), Y at (0.500, 0.374, 0.250), S at (0.255, 0.130, 0.005) and S at (0.260, 0.380, 0.500).



[5]
The following is a DFT calculation (PBE) of crystalline NdY4S4 at its relaxed geometry.

The volume comes out at 23.675 Å³/atom. The calculation puts the formation energy without anion corrections at -172.0 kJ/mol of atoms. The density of states at the Fermi level comes out at 0.538 states/eV/atom.

The structure belongs to space group I4/m (No. 87); the cell edges are 8.792, 8.792 and 5.513 Å and the angles 90.00°, 90.00° and 90.00°. The distinct sites, in fractional coordinates, are Nd at (0.000, 0.000, 0.000), Y at (0.106, 0.696, 0.500) and S at (0.101, 0.693, 0.000).



[6]
The following is a DFT calculation (PBE) of crystalline NdY4S6 at its relaxed geometry.

The volume comes out at 22.740 Å³/atom. The calculation puts the formation energy without anion corrections at -197.9 kJ/mol of atoms. The density of states at the Fermi level comes out at 0.245 states/eV/atom.

The structure belongs to space group Cmcm (No. 63); the cell edges are 3.882, 12.917 and 19.953 Å and the angles 90.00°, 90.00° and 90.00°. The distinct sites, in fractional coordinates, are Nd at (0.000, 0.153, 0.250), Y at (0.000, 0.092, 0.627), Y at (0.000, 0.361, 0.540), S at (0.000, 0.000, 0.000), S at (0.000, 0.186, 0.750), S at (0.000, 0.269, 0.089) and S at (0.000, 0.452, 0.665).